VASP calculation (GGA-PBE) on a relaxed structure of Sr2SbAs.

a b c (Å): 6.684 6.684 6.684
angles (deg): 139.71 139.71 58.30
Fractional coordinates of all 4 atoms:
Sr 0.000 0.000 0.000
Sr 0.750 0.250 0.500
Sb 0.500 0.500 0.000
As 0.250 0.750 0.500

Summary:
- size of the total moment (μB/f.u.) = 0.00
- formation energy from raw total energies (eV/atom) = -0.742
- SG = No. 119

***

VASP calculation (GGA-PBE) on a relaxed structure of Sr2SbAs.

a b c (Å): 5.540 5.540 5.540
angles (deg): 60.00 60.00 60.00
Fractional coordinates of all 4 atoms:
Sr 0.000 0.000 0.000
Sr 0.250 0.250 0.250
Sb 0.750 0.750 0.750
As 0.500 0.500 0.500

Summary:
- size of the total moment (μB/f.u.) = 0.00
- formation energy from raw total energies (eV/atom) = -0.290
- SG = No. 216

***

VASP calculation (GGA-PBE) on a relaxed structure of Sr5Sb2TeAs.

a b c (Å): 9.545 9.545 9.545
angles (deg): 146.58 130.24 61.27
Fractional coordinates of all 9 atoms:
Sr 0.000 0.000 0.000
Sr 0.110 0.359 0.751
Sr 0.392 0.641 0.751
Sr 0.608 0.359 0.249
Sr 0.890 0.641 0.249
Sb 0.199 0.199 0.000
Sb 0.801 0.801 0.000
Te 0.500 0.000 0.500
As 0.000 0.500 0.500

Summary:
- size of the total moment (μB/f.u.) = 0.00
- formation energy from raw total energies (eV/atom) = -0.987
- SG = No. 71

***

VASP calculation (GGA-PBE) on a relaxed structure of Sr2ZnSbAs.

a b c (Å): 7.761 4.496 9.528
angles (deg): 90.00 106.99 90.00
Fractional coordinates of all 10 atoms:
Sr 0.187 0.250 0.398
Sr 0.227 0.250 0.968
Sr 0.773 0.750 0.032
Sr 0.813 0.750 0.602
Zn 0.495 0.750 0.265
Zn 0.505 0.250 0.735
Sb 0.302 0.750 0.698
Sb 0.698 0.250 0.302
As 0.175 0.750 0.177
As 0.825 0.250 0.823

Summary:
- size of the total moment (μB/f.u.) = 0.00
- formation energy from raw total energies (eV/atom) = -0.875
- SG = No. 11

***

VASP calculation (GGA-PBE) on a relaxed structure of TaSbAs2.

a b c (Å): 4.824 4.824 4.824
angles (deg): 60.00 60.00 60.00
Fractional coordinates of all 4 atoms:
Ta 0.000 0.000 0.000
Sb 0.250 0.250 0.250
As 0.500 0.500 0.500
As 0.750 0.750 0.750

Summary:
- size of the total moment (μB/f.u.) = 0.01
- formation energy from raw total energies (eV/atom) = 0.473
- SG = No. 216

***

VASP calculation (GGA-PBE) on a relaxed structure of TaSbAs.

a b c (Å): 6.755 6.802 6.857
angles (deg): 65.59 87.38 73.43
Fractional coordinates of all 12 atoms:
Ta 0.000 0.000 0.000
Ta 0.053 0.449 0.510
Ta 0.450 0.153 0.470
Ta 0.629 0.302 0.065
Sb 0.205 0.531 0.099
Sb 0.394 0.943 0.189
Sb 0.415 0.496 0.645
Sb 0.868 0.911 0.425
As 0.132 0.016 0.629
As 0.654 0.012 0.854
As 0.697 0.481 0.327
As 0.945 0.428 0.889

Summary:
- size of the total moment (μB/f.u.) = 0.00
- formation energy from raw total energies (eV/atom) = -0.043
- SG = No. 1
- energy above the most stable polymorph in this dataset (eV/atom) = 0.057

***

VASP calculation (GGA-PBE) on a relaxed structure of TaSbAs2.

a b c (Å): 3.001 3.001 9.746
angles (deg): 90.00 90.00 103.86
Fractional coordinates of all 4 atoms:
Ta 0.000 0.000 0.000
Sb 0.500 0.500 0.764
As 0.000 0.000 0.485
As 0.500 0.500 0.195

Summary:
- size of the total moment (μB/f.u.) = 0.00
- formation energy from raw total energies (eV/atom) = 0.253
- SG = No. 35

***

VASP calculation (GGA-PBE) on a relaxed structure of TaSbAs2.

a b c (Å): 9.117 9.117 9.117
angles (deg): 20.94 20.94 20.94
Fractional coordinates of all 4 atoms:
Ta 0.000 0.000 0.000
Sb 0.500 0.500 0.500
As 0.265 0.265 0.265
As 0.735 0.735 0.735

Summary:
- size of the total moment (μB/f.u.) = 0.00
- formation energy from raw total energies (eV/atom) = -0.038
- SG = No. 166

***

VASP calculation (GGA-PBE) on a relaxed structure of TaSbAs2.

a b c (Å): 4.892 4.892 5.281
angles (deg): 96.57 96.57 41.06
Fractional coordinates of all 4 atoms:
Ta 0.000 0.000 0.000
Sb 0.500 0.500 0.500
As 0.280 0.280 0.815
As 0.720 0.720 0.185

Summary:
- size of the total moment (μB/f.u.) = 0.00
- formation energy from raw total energies (eV/atom) = 0.102
- SG = No. 12

***

VASP calculation (GGA-PBE) on a relaxed structure of TaSbAs.

a b c (Å): 5.544 5.544 5.544
angles (deg): 143.60 143.60 52.43
Fractional coordinates of all 3 atoms:
Ta 0.000 0.000 0.000
Sb 0.324 0.324 0.000
As 0.618 0.618 0.000

Summary:
- size of the total moment (μB/f.u.) = 0.00
- formation energy from raw total energies (eV/atom) = -0.070
- SG = No. 107
- energy above the most stable polymorph in this dataset (eV/atom) = 0.029

***

VASP calculation (GGA-PBE) on a relaxed structure of TaSbAs2.

a b c (Å): 3.003 3.003 10.051
angles (deg): 90.00 90.00 103.31
Fractional coordinates of all 4 atoms:
Ta 0.000 0.000 0.000
Sb 0.000 0.000 0.500
As 0.500 0.500 0.191
As 0.500 0.500 0.809

Summary:
- size of the total moment (μB/f.u.) = 0.00
- formation energy from raw total energies (eV/atom) = 0.068
- SG = No. 65

***

VASP calculation (GGA-PBE) on a relaxed structure of TaSbAs2.

a b c (Å): 4.809 4.809 3.424
angles (deg): 90.00 90.00 101.45
Fractional coordinates of all 4 atoms:
Ta 0.000 0.000 0.000
Sb 0.500 0.500 0.000
As 0.000 0.500 0.500
As 0.500 0.000 0.500

Summary:
- size of the total moment (μB/f.u.) = 0.00
- formation energy from raw total energies (eV/atom) = 0.356
- SG = No. 65